1.
DFT (PBE) results for GdB4Os after structural relaxation.

```
6
Lattice="-0.687 1.279 4.542 -4.767 0.078 -0.009 3.658 -3.026 -0.443" Properties=species:S:1:pos:R:3 pbc="T T T"
B -0.367 -0.246 2.501
B -1.429 -1.423 1.588
B 0.617 -0.824 3.859
B -2.413 -0.844 0.231
Os 0.000 0.000 0.000
Gd -2.727 0.679 2.266
```

## Properties
Space group = Immm, No. 71
Energy above the most stable polymorph in this dataset = 498 meV/atom

---

2.
DFT (PBE) results for GdBOs after structural relaxation.

```
3
Lattice="-3.734 -1.552 0.826 -3.213 2.532 0.541 -2.985 0.183 -2.843" Properties=species:S:1:pos:R:3 pbc="T T T"
Os -7.449 0.873 -1.107
Gd -2.483 0.291 -0.369
B 0.000 0.000 0.000
```

## Properties
Space group = F-43m, No. 216
VASP energy = -21.8 eV/f.u.

---

3.
DFT (PBE) results for GdB4Os after structural relaxation.

```
24
Lattice="-5.825 -0.786 1.159 -1.244 -5.615 -10.061 0.743 -3.096 1.636" Properties=species:S:1:pos:R:3 pbc="T T T"
B -0.637 -5.447 -6.103
B -2.628 -2.992 -0.552
B -3.697 -6.505 -6.714
B -1.878 -6.289 -7.132
B -5.364 -4.793 -2.717
B -3.998 -5.026 -3.779
B -4.694 -2.397 1.513
B -1.696 -3.541 -2.014
B -4.380 -7.384 -8.067
B -2.328 -4.471 -3.487
B -0.961 -4.704 -4.550
B -4.448 -3.208 -0.134
B -1.632 -7.101 -8.780
B -4.629 -5.956 -5.253
B -1.945 -2.113 0.800
B -5.688 -4.050 -1.164
Gd -0.932 -0.944 -1.363
Gd -4.092 -2.458 -2.792
Gd -6.137 -5.458 -7.540
Gd -2.976 -3.943 -6.110
Os -3.225 -5.376 -8.708
Os -5.747 -4.006 -4.970
Os -1.322 -2.395 -3.932
Os -3.844 -1.025 -0.194
```

## Properties
Space group = Pbam, No. 55
Energy above the most stable polymorph in this dataset = 0 meV/atom

---

4.
DFT (PBE) results for GdB2Os3 after structural relaxation.

```
6
Lattice="5.562 0.000 0.000 -2.781 4.817 0.000 0.000 0.000 3.037" Properties=species:S:1:pos:R:3 pbc="T T T"
Os -1.391 2.408 1.518
Os 1.391 2.408 1.518
Os 2.781 0.000 1.518
B 0.000 3.211 0.000
B 2.781 1.606 0.000
Gd 0.000 0.000 0.000
```

## Properties
Space group = P6/mmm, No. 191
VASP energy = -53.6 eV/f.u.

---

5.
DFT (PBE) results for Gd2BOs6 after structural relaxation.

```
9
Lattice="-0.786 -7.134 -2.994 4.409 1.105 6.310 -2.316 -0.458 1.699" Properties=species:S:1:pos:R:3 pbc="T T T"
Os 0.905 0.227 1.296
Os 1.755 0.501 5.019
Os -0.161 -1.465 -0.615
Os -1.677 -4.943 -1.129
Os 2.879 -4.791 2.635
Os 0.071 -2.274 1.974
B -1.158 -0.229 0.849
Gd 0.946 -4.388 0.107
Gd 2.677 -1.641 3.208
```

## Properties
Space group = P-62m, No. 189
VASP energy = -78.4 eV/f.u.

---

6.
DFT (PBE) results for GdB4Os after structural relaxation.

```
6
Lattice="3.230 0.000 0.000 -1.615 2.797 0.000 0.000 0.000 6.833" Properties=species:S:1:pos:R:3 pbc="T T T"
Os 0.000 0.000 0.000
Gd 0.000 0.000 3.417
B 1.615 0.932 5.368
B 0.000 1.865 5.368
B 1.615 0.932 1.466
B 0.000 1.865 1.466
```

## Properties
Space group = P6/mmm, No. 191
Energy above the most stable polymorph in this dataset = 458 meV/atom

---

7.
DFT (PBE) results for Gd4B2P5 after structural relaxation.

```
11
Lattice="7.174 -1.952 0.000 7.174 1.952 0.000 -7.036 0.000 7.832" Properties=species:S:1:pos:R:3 pbc="T T T"
Gd 8.729 0.000 5.325
Gd 9.048 0.000 1.150
Gd -1.735 0.000 6.682
Gd -1.416 0.000 2.507
P 4.001 0.000 1.423
P 6.003 0.000 4.535
P 3.312 0.000 6.409
P 1.310 0.000 3.297
P 0.000 0.000 0.000
B 3.224 0.000 3.193
B 4.089 0.000 4.639
```

## Properties
Space group = C2/m, No. 12
VASP energy = -70.1 eV/f.u.

---

8.
DFT (PBE) results for GdPaB after structural relaxation.

```
3
Lattice="4.007 1.226 1.501 0.365 3.409 2.838 1.110 -0.747 4.245" Properties=species:S:1:pos:R:3 pbc="T T T"
Gd 1.370 0.972 2.146
Pa 4.111 2.916 6.438
B 0.000 0.000 0.000
```

## Properties
Space group = F-43m, No. 216
Energy above the most stable polymorph in this dataset = 0 meV/atom

---

9.
DFT (PBE) results for GdB4Pb after structural relaxation.

```
6
Lattice="-1.557 -0.166 -2.857 0.715 -2.731 1.626 -7.506 0.453 4.064" Properties=species:S:1:pos:R:3 pbc="T T T"
B -5.852 -1.525 3.277
B -2.496 -0.918 -0.444
B -1.738 -1.773 1.050
B -6.609 -0.670 1.783
Gd 0.000 0.000 0.000
Pb -3.753 0.227 2.032
```

## Properties
Space group = P6/mmm, No. 191
Energy above the most stable polymorph in this dataset = 34 meV/atom

---

10.
DFT (PBE) results for GdB4Pb after structural relaxation.

```
6
Lattice="-1.620 2.703 4.319 1.620 -2.703 4.319 1.620 2.703 -4.319" Properties=species:S:1:pos:R:3 pbc="T T T"
Pb 0.000 0.000 0.000
B 1.620 -0.929 2.229
B 0.000 1.774 2.090
B 0.000 3.632 2.090
B 1.620 0.929 2.229
Gd 0.000 0.000 4.319
```

## Properties
Space group = Immm, No. 71
Energy above the most stable polymorph in this dataset = 0 meV/atom

---

11.
DFT (PBE) results for TbGdBPb after structural relaxation.

```
8
Lattice="3.722 0.000 0.000 -1.861 3.223 0.000 0.000 0.000 16.843" Properties=species:S:1:pos:R:3 pbc="T T T"
Tb 0.000 2.149 2.699
Tb 0.000 2.149 14.144
B 0.000 0.000 4.198
B 0.000 0.000 12.645
Pb 1.861 1.074 0.000
Pb 0.000 2.149 8.421
Gd 1.861 1.074 11.131
Gd 1.861 1.074 5.712
```

## Properties
Space group = P-6m2, No. 187
VASP energy = -20.4 eV/f.u.

---

12.
DFT (PBE) results for TbGdBPb after structural relaxation.

```
8
Lattice="-1.156 2.664 -2.327 -2.199 -1.120 2.786 6.779 11.741 10.070" Properties=species:S:1:pos:R:3 pbc="T T T"
Gd 0.925 4.949 5.205
Gd 2.500 8.336 5.324
B 0.000 0.000 0.000
B 3.390 5.871 5.035
Pb 3.241 8.960 8.645
Pb 0.184 4.325 1.884
Tb -1.247 1.187 1.978
Tb 4.672 12.098 8.550
```

## Properties
Space group = P-3m1, No. 164
VASP energy = -20.4 eV/f.u.

---

13.
DFT (PBE) results for TbGd3B2Pb2 after structural relaxation.

```
8
Lattice="-2.294 -1.881 2.262 1.952 -1.818 -2.608 12.631 -2.194 10.985" Properties=species:S:1:pos:R:3 pbc="T T T"
Pb 9.476 -1.646 8.240
Pb 3.685 -2.386 1.753
Gd 7.988 -3.133 5.495
Gd 5.178 -0.899 4.503
Gd 12.042 -3.837 9.020
Tb 1.130 -0.196 0.983
B 5.435 -2.957 6.130
B -0.871 -1.861 0.645
```

## Properties
Space group = P3m1, No. 156
VASP energy = -40.7 eV/f.u.

---

14.
DFT (PBE) results for GdTmBPb after structural relaxation.

```
8
Lattice="3.691 0.000 0.000 -1.846 3.197 0.000 0.000 0.000 16.659" Properties=species:S:1:pos:R:3 pbc="T T T"
Pb 1.846 1.066 8.330
Pb 0.000 2.131 0.000
Gd 0.000 2.131 5.604
Gd 0.000 2.131 11.056
Tm 1.846 1.066 2.644
Tm 1.846 1.066 14.015
B 0.000 0.000 12.570
B 0.000 0.000 4.089
```

## Properties
Space group = P-6m2, No. 187
Energy above the most stable polymorph in this dataset = 3 meV/atom

---

15.
DFT (PBE) results for GdTmBPb after structural relaxation.

```
8
Lattice="-0.711 -3.435 1.112 3.066 0.720 -1.904 8.189 2.935 14.298" Properties=species:S:1:pos:R:3 pbc="T T T"
B 0.000 0.000 0.000
B 4.095 1.467 7.149
Tm 5.348 -0.330 8.487
Tm 5.197 0.550 5.020
Pb 7.909 1.522 9.755
Pb 2.636 -1.302 3.752
Gd 7.976 0.612 13.076
Gd 2.568 -0.392 0.431
```

## Properties
Space group = P-3m1, No. 164
Energy above the most stable polymorph in this dataset = 0 meV/atom

---

16.
DFT (PBE) results for GdTm3B2Pb2 after structural relaxation.

```
8
Lattice="-0.972 2.970 1.913 -0.346 -3.330 1.487 15.375 1.116 6.076" Properties=species:S:1:pos:R:3 pbc="T T T"
Tm 13.409 -0.217 7.147
Tm 8.487 -0.574 5.202
Tm 6.367 0.462 2.517
Gd 1.373 0.100 0.543
Pb 3.349 -0.947 3.171
Pb 11.511 0.836 4.549
B 6.943 1.429 4.816
B 14.558 1.982 7.826
```

## Properties
Space group = P3m1, No. 156
VASP energy = -40.5 eV/f.u.

---

17.
DFT (PBE) results for GdY3B2Pb2 after structural relaxation.

```
8
Lattice="3.709 0.000 0.000 -1.854 3.212 0.000 0.000 0.000 16.747" Properties=species:S:1:pos:R:3 pbc="T T T"
B 1.854 1.071 8.381
B 1.854 1.071 16.731
Y 0.000 2.141 9.878
Y 0.000 0.000 6.880
Y 0.000 2.141 15.222
Gd 0.000 0.000 1.504
Pb 0.000 2.141 4.211
Pb 0.000 0.000 12.555
```

## Properties
Space group = P3m1, No. 156
VASP energy = -46.5 eV/f.u.

---

18.
DFT (PBE) results for GdB2Pd3 after structural relaxation.

```
6
Lattice="2.753 -4.771 0.000 2.753 4.771 0.000 -0.006 0.000 3.233" Properties=species:S:1:pos:R:3 pbc="T T T"
B 2.750 3.180 1.616
B 2.750 -3.180 1.616
Gd 2.750 0.000 1.616
Pd 0.000 0.000 0.000
Pd 1.377 2.386 0.000
Pd 1.377 -2.386 0.000
```

## Properties
Space group = C2/m, No. 12
VASP energy = -35.8 eV/f.u.

---

19.
DFT (PBE) results for GdB4Pd after structural relaxation.

```
6
Lattice="-1.190 -1.887 2.329 0.691 -1.249 -2.892 6.514 -1.428 2.173" Properties=species:S:1:pos:R:3 pbc="T T T"
B 4.177 -2.713 2.170
B 1.210 -2.063 1.180
B 1.837 -1.850 -0.560
B 4.804 -2.501 0.430
Pd 3.257 -0.714 1.087
Gd 0.000 0.000 0.000
```

## Properties
Space group = P6/mmm, No. 191
Energy above the most stable polymorph in this dataset = 16 meV/atom

---

20.
DFT (PBE) results for GdBPd after structural relaxation.

```
3
Lattice="3.521 -2.333 -1.042 -0.452 -3.931 -1.809 1.050 -0.605 -4.178" Properties=species:S:1:pos:R:3 pbc="T T T"
Gd 3.089 -5.152 -5.272
Pd 0.000 0.000 0.000
B 1.030 -1.717 -1.757
```

## Properties
Space group = F-43m, No. 216
Energy above the most stable polymorph in this dataset = 364 meV/atom